--- 1 ---
VASP calculation (GGA-PBE) on a relaxed structure of Ac2TbSm2.

Unit cell a=17.943 b=6.805 c=6.572 alpha=90.00 beta=108.65 gamma=90.00
Space group C2/c (No. 15)
One atom of each set of equivalent atoms:
1 Ac 0.191 0.142 0.192 [8 per cell]
2 Tb 0.000 0.073 0.250 [4 per cell]
3 Sm 0.088 0.384 0.657 [8 per cell]

---

--- 2 ---
VASP calculation (GGA-PBE) on a relaxed structure of Ac2TbSm2.

Unit cell a=4.937 b=4.937 c=16.643 alpha=90.00 beta=90.00 gamma=90.00
Space group I4/mmm (No. 139)
One atom of each set of equivalent atoms:
1 Ac 0.000 0.500 0.250 [4 per cell]
2 Tb 0.000 0.000 0.000 [2 per cell]
3 Sm 0.000 0.000 0.409 [4 per cell]

---

So which one wins? Going from most stable to least: 1, 2.

---

--- 1 ---
VASP calculation (GGA-PBE) on a relaxed structure of AcTb3Sm4.

Unit cell a=11.708 b=7.418 c=6.392 alpha=90.00 beta=90.00 gamma=90.00
Space group Pmn2_1 (No. 31)
One atom of each set of equivalent atoms:
1 Ac 0.000 0.125 0.000 [2 per cell]
2 Tb 0.000 0.871 0.494 [2 per cell]
3 Tb 0.248 0.126 0.658 [4 per cell]
4 Sm 0.000 0.378 0.490 [2 per cell]
5 Sm 0.000 0.626 0.995 [2 per cell]
6 Sm 0.246 0.623 0.660 [4 per cell]

---

--- 2 ---
VASP calculation (GGA-PBE) on a relaxed structure of AcTb3Sm4.

Unit cell a=3.764 b=5.940 c=24.869 alpha=90.00 beta=90.00 gamma=90.00
Space group Immm (No. 71)
One atom of each set of equivalent atoms:
1 Ac 0.000 0.000 0.000 [2 per cell]
2 Tb 0.000 0.000 0.266 [4 per cell]
3 Tb 0.000 0.000 0.500 [2 per cell]
4 Sm 0.000 0.500 0.114 [4 per cell]
5 Sm 0.000 0.500 0.359 [4 per cell]

---

So which one wins? Going from most stable to least: 1, 2.

---

--- 1 ---
VASP calculation (GGA-PBE) on a relaxed structure of AcTb7Sm4.

Unit cell a=6.314 b=7.299 c=9.002 alpha=90.04 beta=103.54 gamma=90.01
Space group P-1 (No. 2)
One atom of each set of equivalent atoms:
1 Ac 0.000 0.000 0.000 [1 per cell]
2 Tb 0.000 0.500 0.000 [1 per cell]
3 Tb 0.224 0.000 0.663 [2 per cell]
4 Tb 0.280 0.252 0.336 [2 per cell]
5 Tb 0.500 0.253 0.000 [2 per cell]
6 Sm 0.221 0.499 0.667 [2 per cell]
7 Sm 0.280 0.748 0.337 [2 per cell]

---

--- 2 ---
VASP calculation (GGA-PBE) on a relaxed structure of AcTb7Sm4.

Unit cell a=12.326 b=6.101 c=12.723 alpha=90.00 beta=118.83 gamma=90.00
Space group C2/m (No. 12)
One atom of each set of equivalent atoms:
1 Ac 0.000 0.000 0.000 [2 per cell]
2 Tb 0.000 0.500 0.000 [2 per cell]
3 Tb 0.055 0.000 0.339 [4 per cell]
4 Tb 0.133 0.500 0.505 [4 per cell]
5 Tb 0.216 0.000 0.920 [4 per cell]
6 Sm 0.130 0.500 0.776 [4 per cell]
7 Sm 0.249 0.500 0.319 [4 per cell]

---

So which one wins? Going from most stable to least: 1, 2.

---

--- 1 ---
VASP calculation (GGA-PBE) on a relaxed structure of AcTb7Sm2.

Unit cell a=8.857 b=3.631 c=10.807 alpha=90.00 beta=105.75 gamma=90.00
Space group P2/m (No. 10)
One atom of each set of equivalent atoms:
1 Ac 0.000 0.000 0.000 [1 per cell]
2 Tb 0.102 0.500 0.309 [2 per cell]
3 Tb 0.203 0.000 0.599 [2 per cell]
4 Tb 0.401 0.000 0.205 [2 per cell]
5 Tb 0.500 0.500 0.500 [1 per cell]
6 Sm 0.306 0.500 0.897 [2 per cell]

---

--- 2 ---
VASP calculation (GGA-PBE) on a relaxed structure of AcTb7Sm2.

Unit cell a=8.790 b=16.153 c=5.706 alpha=90.00 beta=90.00 gamma=90.00
Space group Cmmm (No. 65)
One atom of each set of equivalent atoms:
1 Ac 0.000 0.000 0.000 [2 per cell]
2 Tb 0.000 0.228 0.000 [4 per cell]
3 Tb 0.000 0.500 0.500 [2 per cell]
4 Tb 0.178 0.118 0.500 [8 per cell]
5 Sm 0.000 0.298 0.500 [4 per cell]

---

So which one wins? Going from most stable to least: 1, 2.

---

--- 1 ---
VASP calculation (GGA-PBE) on a relaxed structure of AcTb3Sm3.

Unit cell a=9.7853 b=9.7853 c=5.8615 alpha=90.00 beta=90.00 gamma=120.00
Space group P6_3/m (No. 176)
One atom of each set of equivalent atoms:
1 Ac 0.3333 0.6667 0.2500 [2 per cell]
2 Tb 0.0439 0.2311 0.2500 [6 per cell]
3 Sm 0.0943 0.4712 0.7500 [6 per cell]

---

--- 2 ---
VASP calculation (GGA-PBE) on a relaxed structure of AcTb3Sm3.

Unit cell a=14.193 b=14.363 c=10.096 alpha=90.00 beta=90.99 gamma=90.00
Space group Cm (No. 8)
One atom of each set of equivalent atoms:
1 Ac 0.000 0.000 0.000 [2 per cell]
2 Ac 0.137 0.000 0.393 [2 per cell]
3 Ac 0.372 0.372 0.255 [4 per cell]
4 Tb 0.110 0.126 0.739 [4 per cell]
5 Tb 0.111 0.376 0.742 [4 per cell]
6 Tb 0.222 0.500 0.490 [2 per cell]
7 Tb 0.234 0.249 0.492 [4 per cell]
8 Tb 0.360 0.123 0.240 [4 per cell]
9 Tb 0.478 0.244 0.977 [4 per cell]
10 Tb 0.486 0.000 0.991 [2 per cell]
11 Sm 0.106 0.370 0.242 [4 per cell]
12 Sm 0.231 0.245 0.992 [4 per cell]
13 Sm 0.246 0.000 0.987 [2 per cell]
14 Sm 0.354 0.123 0.733 [4 per cell]
15 Sm 0.361 0.375 0.732 [4 per cell]
16 Sm 0.477 0.000 0.487 [2 per cell]
17 Sm 0.488 0.243 0.501 [4 per cell]

---

So which one wins? Going from most stable to least: 1, 2.

---

--- 1 ---
VASP calculation (GGA-PBE) on a relaxed structure of AcTb2Sm4.

Unit cell a=6.986 b=8.674 c=9.473 alpha=65.15 beta=71.39 gamma=76.53
Space group P1 (No. 1)
One atom of each set of equivalent atoms:
1 Ac 0.000 0.000 0.000 [1 per cell]
2 Ac 0.473 0.892 0.132 [1 per cell]
3 Tb 0.136 0.556 0.299 [1 per cell]
4 Tb 0.185 0.752 0.559 [1 per cell]
5 Tb 0.338 0.335 0.834 [1 per cell]
6 Tb 0.857 0.425 0.717 [1 per cell]
7 Sm 0.042 0.186 0.272 [1 per cell]
8 Sm 0.287 0.138 0.573 [1 per cell]
9 Sm 0.432 0.704 0.859 [1 per cell]
10 Sm 0.564 0.285 0.151 [1 per cell]
11 Sm 0.618 0.468 0.415 [1 per cell]
12 Sm 0.717 0.847 0.441 [1 per cell]
13 Sm 0.758 0.043 0.692 [1 per cell]
14 Sm 0.911 0.607 0.979 [1 per cell]

---

--- 2 ---
VASP calculation (GGA-PBE) on a relaxed structure of AcTb2Sm4.

Unit cell a=12.216 b=6.521 c=6.338 alpha=90.00 beta=98.76 gamma=90.00
Space group C2/m (No. 12)
One atom of each set of equivalent atoms:
1 Ac 0.000 0.000 0.000 [2 per cell]
2 Tb 0.042 0.500 0.267 [4 per cell]
3 Sm 0.163 0.000 0.508 [4 per cell]
4 Sm 0.250 0.250 0.000 [4 per cell]

---

So which one wins? Going from most stable to least: 1, 2.

---

--- 1 ---
VASP calculation (GGA-PBE) on a relaxed structure of AcTbSmZn.

Unit cell a=3.705 b=3.705 c=8.981 alpha=90.00 beta=90.00 gamma=90.00
Space group P4mm (No. 99)
One atom of each set of equivalent atoms:
1 Ac 0.000 0.000 0.000 [1 per cell]
2 Tb 0.500 0.500 0.697 [1 per cell]
3 Sm 0.500 0.500 0.309 [1 per cell]
4 Zn 0.000 0.000 0.510 [1 per cell]

---

--- 2 ---
VASP calculation (GGA-PBE) on a relaxed structure of AcTbSmZn.

Unit cell a=7.875 b=7.875 c=7.875 alpha=90.00 beta=90.00 gamma=90.00
Space group F-43m (No. 216)
One atom of each set of equivalent atoms:
1 Ac 0.000 0.000 0.000 [4 per cell]
2 Tb 0.250 0.250 0.250 [4 per cell]
3 Sm 0.250 0.250 0.750 [4 per cell]
4 Zn 0.000 0.000 0.500 [4 per cell]

---

So which one wins? Going from most stable to least: 1, 2.

---

--- 1 ---
VASP calculation (GGA-PBE) on a relaxed structure of Ac2SmTe4.

Unit cell a=4.447 b=15.669 c=15.646 alpha=90.00 beta=90.00 gamma=90.00
Space group Cmcm (No. 63)
One atom of each set of equivalent atoms:
1 Ac 0.000 0.132 0.075 [8 per cell]
2 Sm 0.000 0.370 0.250 [4 per cell]
3 Te 0.000 0.015 0.250 [4 per cell]
4 Te 0.000 0.216 0.627 [8 per cell]
5 Te 0.000 0.500 0.000 [4 per cell]

---

--- 2 ---
VASP calculation (GGA-PBE) on a relaxed structure of Ac2SmTe4.

Unit cell a=15.211 b=4.403 c=9.458 alpha=90.00 beta=122.83 gamma=90.00
Space group C2/m (No. 12)
One atom of each set of equivalent atoms:
1 Ac 0.141 0.000 0.204 [4 per cell]
2 Sm 0.000 0.500 0.500 [2 per cell]
3 Te 0.060 0.500 0.874 [4 per cell]
4 Te 0.168 0.000 0.584 [4 per cell]

---

So which one wins? Going from most stable to least: 2, 1.

---

--- 1 ---
VASP calculation (GGA-PBE) on a relaxed structure of AcSmTe.

Unit cell a=5.4024 b=5.4024 c=4.2420 alpha=90.00 beta=90.00 gamma=120.00
Space group P-6m2 (No. 187)
One atom of each set of equivalent atoms:
1 Ac 0.0000 0.0000 0.0000 [1 per cell]
2 Sm 0.6667 0.3333 0.5000 [1 per cell]
3 Te 0.3333 0.6667 0.5000 [1 per cell]

---

--- 2 ---
VASP calculation (GGA-PBE) on a relaxed structure of AcSmTe.

Unit cell a=12.621 b=5.570 c=6.218 alpha=90.00 beta=90.00 gamma=90.00
Space group Pnma (No. 62)
One atom of each set of equivalent atoms:
1 Ac 0.199 0.250 0.131 [4 per cell]
2 Sm 0.014 0.250 0.633 [4 per cell]
3 Te 0.074 0.750 0.869 [4 per cell]

---

So which one wins? Going from most stable to least: 2, 1.

---

--- 1 ---
VASP calculation (GGA-PBE) on a relaxed structure of AcSmTe.

Unit cell a=4.704 b=4.704 c=9.173 alpha=90.00 beta=90.00 gamma=90.00
Space group P4/nmm (No. 129, origin choice 2)
One atom of each set of equivalent atoms:
1 Ac 0.250 0.250 0.143 [2 per cell]
2 Sm 0.250 0.750 0.500 [2 per cell]
3 Te 0.250 0.250 0.756 [2 per cell]

---

--- 2 ---
VASP calculation (GGA-PBE) on a relaxed structure of AcSmTe.

Unit cell a=4.062 b=4.062 c=12.800 alpha=90.00 beta=90.00 gamma=90.00
Space group I4mm (No. 107)
One atom of each set of equivalent atoms:
1 Ac 0.000 0.000 0.000 [2 per cell]
2 Sm 0.000 0.000 0.299 [2 per cell]
3 Te 0.000 0.000 0.677 [2 per cell]

---

So which one wins? Going from most stable to least: 1, 2.

---

--- 1 ---
VASP calculation (GGA-PBE) on a relaxed structure of AcSm3Te4.

Unit cell a=4.4438 b=4.4438 c=30.5162 alpha=90.00 beta=90.00 gamma=120.00
Space group P6_3/mmc (No. 194)
One atom of each set of equivalent atoms:
1 Ac 0.3333 0.6667 0.2500 [2 per cell]
2 Sm 0.0000 0.0000 0.0000 [2 per cell]
3 Sm 0.3333 0.6667 0.6188 [4 per cell]
4 Te 0.0000 0.0000 0.1791 [4 per cell]
5 Te 0.3333 0.6667 0.0596 [4 per cell]

---

--- 2 ---
VASP calculation (GGA-PBE) on a relaxed structure of AcSm3Te4.

Unit cell a=9.160 b=12.790 c=4.459 alpha=90.00 beta=90.00 gamma=90.00
Space group Cmmm (No. 65)
One atom of each set of equivalent atoms:
1 Ac 0.000 0.000 0.000 [2 per cell]
2 Sm 0.000 0.500 0.000 [2 per cell]
3 Sm 0.250 0.250 0.500 [4 per cell]
4 Te 0.000 0.256 0.000 [4 per cell]
5 Te 0.237 0.500 0.500 [4 per cell]

---

So which one wins? Going from most stable to least: 1, 2.